10
Lattice="8.492 -1.771 0.000 8.492 1.771 0.000 -3.671 0.000 10.810" Properties=species:S:1:pos:R:3 comment="Pm5HoTm4 (PBE, relaxed)" magmom_total_mub_per_atom=0.000 total_energy_ev_per_atom=-4.58 relative_energy_kj_per_mol_atoms=0.0 rho_g_cm3=8.0 ef_kcal_per_mol_atoms=0.85 pbc="T T T"
Pm 0.000 0.000 0.000
Pm 1.662 0.000 9.548
Pm 3.739 0.000 4.591
Pm 9.574 0.000 6.219
Pm 11.651 0.000 1.262
Ho -1.836 0.000 5.405
Tm 0.678 0.000 3.206
Tm 6.326 0.000 2.272
Tm 6.987 0.000 8.538
Tm 12.635 0.000 7.605